A plane-wave DFT calculation with PBE-GGA was carried out for an optimized crystal structure of LaB2PdPt.

Calculated values
E_tot = -5.676 eV per atom
SG = No. 123

Geometry as extended XYZ:
```
5
Lattice="4.1166 0.0000 0.0000 0.0000 5.9190 0.0000 0.0000 0.0000 4.1166" Properties=species:S:1:pos:R:3 pbc="T T T"
B 0.0000 0.0000 2.0583
B 2.0583 0.0000 0.0000
Pd 2.0583 2.9595 2.0583
Pt 0.0000 0.0000 0.0000
La 0.0000 2.9595 0.0000
```